# UZn2HgO6

A relaxed structure of UZn2HgO6 (PBE, Alexandria via LeMat-Bulk).

Unit cell a=10.076 b=10.595 c=5.635 alpha=90.00 beta=102.44 gamma=90.00
Space group C2/c (No. 15)
Inequivalent atoms, fractional coordinates:
U: 0.000 0.212 0.250 x4
Zn: 0.193 0.078 0.827 x8
Hg: 0.000 0.405 0.750 x4
O: 0.111 0.379 0.112 x8
O: 0.115 0.207 0.574 x8
O: 0.136 0.078 0.139 x8

Computed properties:
ΔE_f (raw) (eV per atom): -1.819
Spin magnetization (μB/cell): 0.00
DFT total energy (eV/atom): -6.2077